VASP calculation (PBE) on SiAuBr2 after structural relaxation.

Output
D(E_F) = 2.463 states/eV per cell
VASP energy = -2.948 eV per atom
ΔE_f (raw) = 0.06 eV per atom
offset from the most stable computed form = 0.2646 eV/atom
crystal system = orthorhombic

a b c (Å): 3.476 7.476 9.140
angles (deg): 90.00 90.00 90.00
Space group Imm2 (No. 44)
Symmetry-distinct sites (fractional):
Si 0.000 0.000 0.000 (multiplicity 2)
Au 0.000 0.500 0.681 (multiplicity 2)
Br 0.000 0.000 0.407 (multiplicity 2)
Br 0.000 0.500 0.281 (multiplicity 2)